No. 1
Density functional theory data (GGA-PBE) for Be2TlNi after structural relaxation.

Cell: 3.7733 3.7733 7.1384 Å, 90.00 90.00 90.00°
Space group I4/mmm (No. 139)
One atom of each set of equivalent atoms:
Be: 0.0000 0.5000 0.2500 [4 per cell]
Tl: 0.0000 0.0000 0.0000 [2 per cell]
Ni: 0.0000 0.0000 0.5000 [2 per cell]

Values from the calculation:
energy relative to the elements	0.38	eV/atom
size of the total moment	0.00	μB per formula unit
relative energy among the computed polymorphs	0.2208	eV/atom

No. 2
Density functional theory data (GGA-PBE) for LiBi2W after structural relaxation.

Cell: 7.0713 7.0713 7.0713 Å, 90.00 90.00 90.00°
Space group Fm-3m (No. 225)
One atom of each set of equivalent atoms:
Li: 0.0000 0.0000 0.0000 [4 per cell]
Bi: 0.2500 0.2500 0.2500 [8 per cell]
W: 0.0000 0.0000 0.5000 [4 per cell]

Values from the calculation:
energy relative to the elements	0.53	eV/atom
size of the total moment	1.65	μB per formula unit
relative energy among the computed polymorphs	0.0000	eV/atom

No. 3
Density functional theory data (GGA-PBE) for AlZn2Rh after structural relaxation.

Cell: 3.2438 3.2438 5.4787 Å, 90.00 90.00 90.00°
Space group P4mm (No. 99)
One atom of each set of equivalent atoms:
Al: 0.0000 0.0000 0.0000 [1 per cell]
Zn: 0.0000 0.0000 0.4830 [1 per cell]
Zn: 0.5000 0.5000 0.7199 [1 per cell]
Rh: 0.5000 0.5000 0.2149 [1 per cell]

Values from the calculation:
energy relative to the elements	-0.41	eV/atom
size of the total moment	0.00	μB per formula unit

No. 4
Density functional theory data (GGA-PBE) for Al2RhW after structural relaxation.

Cell: 2.8158 4.2923 5.1599 Å, 90.00 105.63 90.00°
Space group Pm (No. 6)
One atom of each set of equivalent atoms:
Al: 0.0000 0.0000 0.0000 [1 per cell]
Al: 0.3835 0.5000 0.7716 [1 per cell]
Rh: 0.1217 0.5000 0.2516 [1 per cell]
W: 0.7367 0.0000 0.4829 [1 per cell]

Values from the calculation:
energy relative to the elements	-0.24	eV/atom
size of the total moment	0.00	μB per formula unit
relative energy among the computed polymorphs	0.2048	eV/atom

No. 5
Density functional theory data (GGA-PBE) for TbDy2Sn2 after structural relaxation.

Cell: 6.4952 16.3478 5.5431 Å, 90.00 90.00 90.00°
Space group Cmcm (No. 63)
One atom of each set of equivalent atoms:
Tb: 0.0000 0.0000 0.0000 [4 per cell]
Dy: 0.0000 0.2003 0.2500 [4 per cell]
Dy: 0.0000 0.4243 0.7500 [4 per cell]
Sn: 0.2371 0.3639 0.2500 [8 per cell]

Values from the calculation:
energy relative to the elements	-0.42	eV/atom
size of the total moment	0.20	μB per formula unit

No. 6
Density functional theory data (GGA-PBE) for HgMo2W after structural relaxation.

Cell: 3.2370 4.5424 9.3374 Å, 90.00 90.00 90.00°
Space group Cmm2 (No. 35)
One atom of each set of equivalent atoms:
Hg: 0.0000 0.0000 0.0000 [2 per cell]
Mo: 0.0000 0.0000 0.4979 [2 per cell]
Mo: 0.0000 0.5000 0.2664 [2 per cell]
W: 0.0000 0.5000 0.7302 [2 per cell]

Values from the calculation:
energy relative to the elements	0.38	eV/atom
size of the total moment	0.00	μB per formula unit

No. 7
Density functional theory data (GGA-PBE) for Ba2Tl3CdAu4 after structural relaxation.

Cell: 5.2217 5.2217 10.5517 Å, 90.00 90.00 90.00°
Space group P-4m2 (No. 115)
One atom of each set of equivalent atoms:
Ba: 0.0000 0.5000 0.2390 [2 per cell]
Tl: 0.0000 0.5000 0.8797 [2 per cell]
Tl: 0.5000 0.5000 0.5000 [1 per cell]
Cd: 0.0000 0.0000 0.5000 [1 per cell]
Au: 0.0000 0.0000 0.0000 [1 per cell]
Au: 0.0000 0.5000 0.6137 [2 per cell]
Au: 0.5000 0.5000 0.0000 [1 per cell]

Values from the calculation:
energy relative to the elements	-0.40	eV/atom
size of the total moment	0.00	μB per formula unit

No. 8
Density functional theory data (GGA-PBE) for ReNiOs2 after structural relaxation.

Cell: 2.7301 2.7301 7.3920 Å, 90.00 90.00 90.00°
Space group P4/mmm (No. 123)
One atom of each set of equivalent atoms:
Re: 0.0000 0.0000 0.0000 [1 per cell]
Ni: 0.0000 0.0000 0.5000 [1 per cell]
Os: 0.5000 0.5000 0.2593 [2 per cell]

Values from the calculation:
energy relative to the elements	0.15	eV/atom
size of the total moment	0.00	μB per formula unit
relative energy among the computed polymorphs	0.0521	eV/atom

Among the records above, which one has the highest size of the total moment?
LiBi2W